Entry 1:
Computed, not measured: a relaxed structure of CaYAgIr at the PBE level of DFT.

```
data_CaYAgIr
_chemical_formula_sum 'Ca4 Y4 Ag4 Ir4'
_symmetry_space_group_name_H-M 'F -4 3 m'
_symmetry_Int_Tables_number 216
_symmetry_space_group_name_Hall 'F -4 2 3'
_cell_length_a 7.0386
_cell_length_b 7.0386
_cell_length_c 7.0386
_cell_angle_alpha 90.00
_cell_angle_beta 90.00
_cell_angle_gamma 90.00
loop_
_atom_site_label
_atom_site_type_symbol
_atom_site_fract_x
_atom_site_fract_y
_atom_site_fract_z
Ca1 Ca 0.0000 0.0000 0.0000
Y1 Y 0.0000 0.0000 0.5000
Ag1 Ag 0.2500 0.2500 0.7500
Ir1 Ir 0.2500 0.2500 0.2500
```

Computed properties:
energy above the most stable polymorph in this dataset: 31 meV/atom
electronic total energy: -5.48 eV per atom
formation enthalpy at 0 K: -434 meV per atom

Entry 2:
Computed, not measured: a relaxed structure of Rb3CdMo at the PBE level of DFT.

```
data_Rb3CdMo
_chemical_formula_sum 'Rb3 Cd1 Mo1'
_symmetry_space_group_name_H-M 'P m -3 m'
_symmetry_Int_Tables_number 221
_symmetry_space_group_name_Hall '-P 4 2 3'
_cell_length_a 7.2297
_cell_length_b 7.2297
_cell_length_c 7.2297
_cell_angle_alpha 90.00
_cell_angle_beta 90.00
_cell_angle_gamma 90.00
loop_
_atom_site_label
_atom_site_type_symbol
_atom_site_fract_x
_atom_site_fract_y
_atom_site_fract_z
Rb1 Rb 0.0000 0.0000 0.5000
Cd1 Cd 0.5000 0.5000 0.5000
Mo1 Mo 0.0000 0.0000 0.0000
```

Computed properties:
energy above the most stable polymorph in this dataset: 0 meV/atom
electronic total energy: -1.81 eV per atom
formation enthalpy at 0 K: 1120 meV per atom

Entry 3:
Computed, not measured: a relaxed structure of Ni4RuPt at the PBE level of DFT.

```
data_Ni4RuPt
_chemical_formula_sum 'Ni16 Ru4 Pt4'
_symmetry_space_group_name_H-M 'C 1 2/c 1'
_symmetry_Int_Tables_number 15
_cell_length_a 8.5709
_cell_length_b 9.6112
_cell_length_c 4.3101
_cell_angle_alpha 90.00
_cell_angle_beta 110.87
_cell_angle_gamma 90.00
loop_
_symmetry_equiv_pos_as_xyz
'x,y,z'
'-x,-y,-z'
'-x,y,-z+1/2'
'x,-y,z+1/2'
'x+1/2,y+1/2,z'
'-x+1/2,-y+1/2,-z'
'-x+1/2,y+1/2,-z+1/2'
'x+1/2,-y+1/2,z+1/2'
loop_
_atom_site_label
_atom_site_type_symbol
_atom_site_fract_x
_atom_site_fract_y
_atom_site_fract_z
Ni1 Ni 0.2133 0.2031 0.2223
Ni2 Ni 0.2182 0.4498 0.2660
Ru1 Ru 0.0000 0.0564 0.2500
Pt1 Pt 0.0000 0.3488 0.7500
```

Computed properties:
energy above the most stable polymorph in this dataset: 328 meV/atom
electronic total energy: -6.00 eV per atom
formation enthalpy at 0 K: 403 meV per atom

Entry 4:
Computed, not measured: a relaxed structure of BRhO2F at the PBE level of DFT.

```
data_BRhO2F
_chemical_formula_sum 'B1 Rh1 O2 F1'
_symmetry_space_group_name_H-M 'P 4/m m m'
_symmetry_Int_Tables_number 123
_symmetry_space_group_name_Hall '-P 4 2'
_cell_length_a 3.8637
_cell_length_b 3.8637
_cell_length_c 4.2475
_cell_angle_alpha 90.00
_cell_angle_beta 90.00
_cell_angle_gamma 90.00
loop_
_atom_site_label
_atom_site_type_symbol
_atom_site_fract_x
_atom_site_fract_y
_atom_site_fract_z
B1 B 0.0000 0.0000 0.0000
Rh1 Rh 0.5000 0.5000 0.5000
O1 O 0.0000 0.5000 0.5000
F1 F 0.5000 0.5000 0.0000
```

Computed properties:
electronic total energy: -4.81 eV per atom
raw formation energy: 349 meV/atom

Entry 5:
Computed, not measured: a relaxed structure of NaIrBrCl2 at the PBE level of DFT.

```
data_NaIrBrCl2
_chemical_formula_sum 'Na1 Ir1 Br1 Cl2'
_symmetry_space_group_name_H-M 'P 4/m m m'
_symmetry_Int_Tables_number 123
_symmetry_space_group_name_Hall '-P 4 2'
_cell_length_a 4.8505
_cell_length_b 4.8505
_cell_length_c 5.1885
_cell_angle_alpha 90.00
_cell_angle_beta 90.00
_cell_angle_gamma 90.00
loop_
_atom_site_label
_atom_site_type_symbol
_atom_site_fract_x
_atom_site_fract_y
_atom_site_fract_z
Na1 Na 0.0000 0.0000 0.0000
Ir1 Ir 0.5000 0.5000 0.5000
Br1 Br 0.5000 0.5000 0.0000
Cl1 Cl 0.0000 0.5000 0.5000
```

Computed properties:
electronic total energy: -3.57 eV per atom
raw formation energy: -462 meV/atom

Entry 6:
Computed, not measured: a relaxed structure of TiTe6Au2 at the PBE level of DFT.

```
data_TiTe6Au2
_chemical_formula_sum 'Ti4 Te24 Au8'
_symmetry_space_group_name_H-M 'C 1 2/c 1'
_symmetry_Int_Tables_number 15
_cell_length_a 14.8212
_cell_length_b 9.8271
_cell_length_c 7.3445
_cell_angle_alpha 90.00
_cell_angle_beta 105.90
_cell_angle_gamma 90.00
loop_
_symmetry_equiv_pos_as_xyz
'x,y,z'
'-x,-y,-z'
'-x,y,-z+1/2'
'x,-y,z+1/2'
'x+1/2,y+1/2,z'
'-x+1/2,-y+1/2,-z'
'-x+1/2,y+1/2,-z+1/2'
'x+1/2,-y+1/2,z+1/2'
loop_
_atom_site_label
_atom_site_type_symbol
_atom_site_fract_x
_atom_site_fract_y
_atom_site_fract_z
Ti1 Ti 0.0000 0.1553 0.2500
Te1 Te 0.0766 0.4230 0.4418
Te2 Te 0.0927 0.0827 0.6436
Te3 Te 0.1615 0.2204 0.1523
Au1 Au 0.2208 0.4926 0.2633
```

Computed properties:
electronic total energy: -3.86 eV per atom
raw formation energy: -161 meV/atom

Entry 7:
Computed, not measured: a relaxed structure of GdPaGa2 at the PBE level of DFT.

```
data_GdPaGa2
_chemical_formula_sum 'Gd1 Pa1 Ga2'
_symmetry_space_group_name_H-M 'P 4/m m m'
_symmetry_Int_Tables_number 123
_symmetry_space_group_name_Hall '-P 4 2'
_cell_length_a 3.2770
_cell_length_b 3.2770
_cell_length_c 8.3202
_cell_angle_alpha 90.00
_cell_angle_beta 90.00
_cell_angle_gamma 90.00
loop_
_atom_site_label
_atom_site_type_symbol
_atom_site_fract_x
_atom_site_fract_y
_atom_site_fract_z
Gd1 Gd 0.0000 0.0000 0.0000
Pa1 Pa 0.0000 0.0000 0.5000
Ga1 Ga 0.5000 0.5000 0.2517
```

Computed properties:
energy above the most stable polymorph in this dataset: 0 meV/atom
electronic total energy: -7.81 eV per atom
formation enthalpy at 0 K: -400 meV per atom

Entry 8:
Computed, not measured: a relaxed structure of La5Tb3Dy2 at the PBE level of DFT.

```
data_La5Tb3Dy2
_chemical_formula_sum 'La20 Tb12 Dy8'
_symmetry_space_group_name_H-M 'C 1 2/c 1'
_symmetry_Int_Tables_number 15
_cell_length_a 10.9168
_cell_length_b 14.8925
_cell_length_c 10.2073
_cell_angle_alpha 90.00
_cell_angle_beta 122.27
_cell_angle_gamma 90.00
loop_
_symmetry_equiv_pos_as_xyz
'x,y,z'
'-x,-y,-z'
'-x,y,-z+1/2'
'x,-y,z+1/2'
'x+1/2,y+1/2,z'
'-x+1/2,-y+1/2,-z'
'-x+1/2,y+1/2,-z+1/2'
'x+1/2,-y+1/2,z+1/2'
loop_
_atom_site_label
_atom_site_type_symbol
_atom_site_fract_x
_atom_site_fract_y
_atom_site_fract_z
La1 La 0.0000 0.0172 0.2500
La2 La 0.0000 0.2259 0.2500
La3 La 0.0000 0.4746 0.7500
La4 La 0.2474 0.3702 0.2433
Tb1 Tb 0.0000 0.2687 0.7500
Tb2 Tb 0.1540 0.3741 0.5579
Dy1 Dy 0.1556 0.1292 0.0619
```

Computed properties:
electronic total energy: -4.61 eV per atom
formation enthalpy at 0 K: 158 meV per atom